Entry 1:
Entry from Alexandria: a relaxed structure of Tl2CrMo (PBE-GGA).

abc: 9.372 9.372 9.372
angles: 19.55 19.55 19.55
Last column: magnetic moment on the atom in μB.
Fractional coordinates of all 4 atoms:
Tl 0.501 0.501 0.501  -0.04
Tl 0.999 0.999 0.999  -0.04
Cr 0.250 0.250 0.250  3.60
Mo 0.750 0.750 0.750  -0.27

Summary:
Crystal system = trigonal
Space-group type = R-3m
Polymorph energy (0 for the lowest one) = 312 meV/atom
Spin magnetization = 3.6 μB per cell
Energy of formation = 811 meV/atom

=====

Entry 2:
Entry from Alexandria: a relaxed structure of PaTl3Sn3Te8 (PBE-GGA).

abc: 8.845 8.838 9.605
angles: 117.36 90.00 120.03
Fractional coordinates of all 15 atoms:
Te 0.233 0.982 0.715
Te 0.233 0.466 0.715
Te 0.258 0.517 0.275
Te 0.767 0.018 0.285
Te 0.767 0.534 0.285
Te 0.748 0.982 0.715
Te 0.252 0.018 0.285
Te 0.742 0.483 0.725
Tl 0.000 0.500 0.000
Tl 0.500 0.500 0.000
Tl 0.000 0.000 0.000
Sn 0.000 0.500 0.500
Sn 0.500 0.500 0.500
Sn 0.500 0.000 0.500
Pa 0.000 0.000 0.500

Summary:
Crystal system = monoclinic
E_form (uncorrected) = -0.402 eV/atom
Space-group type = C2/m
Spin magnetization = 0.0 μB per cell

=====

| no. | total energy (eV per atom) | mass density (Mg/m³) |
| --- | --- | --- |
| 1 | -5.4862 | 11.5 |
| 2 | -3.9849 | 6.7 |